(1)
An optimized crystal structure of Sc5Ni2Hg, computed with PBE.

Results
- Final energy: -5.824 eV/atom
- Magnetization: 0.00 μB/f.u.
- D(E_F): 1.294 states/eV per atom

Cell lengths 7.2581, 7.2581, 7.9559 Å; angles 117.14, 117.14, 90.00 degrees
Fractional positions:
Sc1 0.5235 0.7055 0.7290
Sc2 0.7945 0.9765 0.2710
Sc3 0.0000 0.0000 0.0000
Sc4 0.5000 0.5000 0.0000
Sc5 0.2055 0.0235 0.7290
Sc6 0.7055 0.2055 0.7290
Sc7 0.0235 0.5235 0.7290
Sc8 0.2945 0.7945 0.2710
Sc9 0.9765 0.4765 0.2710
Sc10 0.4765 0.2945 0.2710
Ni1 0.1302 0.3698 0.0000
Ni2 0.6302 0.1302 0.0000
Ni3 0.3698 0.8698 0.0000
Ni4 0.8698 0.6302 0.0000
Hg1 0.7500 0.7500 0.5000
Hg2 0.2500 0.2500 0.5000

=====

(2)
An optimized crystal structure of La4Sm5Th4, computed with PBE.

Results
- Final energy: -5.576 eV/atom
- Magnetization: 0.00 μB/f.u.
- D(E_F): 1.564 states/eV per atom

Cell lengths 5.1126, 9.6583, 9.6583 Å; angles 85.98, 74.65, 74.65 degrees
Fractional positions:
La1 0.7646 0.3879 0.0830
La2 0.2354 0.6121 0.9170
La3 0.8475 0.9170 0.3879
La4 0.1525 0.0830 0.6121
Sm1 0.6990 0.8375 0.7645
Sm2 0.3010 0.1625 0.2355
Sm3 0.0000 0.0000 0.0000
Sm4 0.5365 0.7645 0.1625
Sm5 0.4635 0.2355 0.8375
Th1 0.9265 0.4632 0.6839
Th2 0.6104 0.3161 0.4632
Th3 0.0735 0.5368 0.3161
Th4 0.3896 0.6839 0.5368

=====

(3)
An optimized crystal structure of SmDyIn4, computed with PBE.

Results
- Magnetization: 0.00 μB/f.u.
- D(E_F): 0.675 states/eV per atom
- Energy relative to the lowest polymorph listed for this composition: 0 meV/atom

Cell lengths 6.0215, 6.0215, 6.0215 Å; angles 60.00, 60.00, 60.00 degrees
Fractional positions:
In1 0.6250 0.6250 0.1249
In2 0.6250 0.1249 0.6250
In3 0.6250 0.6250 0.6250
In4 0.1249 0.6250 0.6250
Sm1 0.2500 0.2500 0.2500
Dy1 0.0000 0.0000 0.0000

=====

(4)
An optimized crystal structure of SrMgHg2, computed with PBE.

Results
- Final energy: -1.138 eV/atom
- Magnetization: 0.00 μB/f.u.
- D(E_F): 0.792 states/eV per atom

Cell lengths 5.2489, 5.2489, 10.3186 Å; angles 75.27, 75.27, 90.00 degrees
Fractional positions:
Sr1 0.0000 0.0000 0.0000
Sr2 0.7500 0.2500 0.5000
Mg1 0.5000 0.5000 0.0000
Mg2 0.2500 0.7500 0.5000
Hg1 0.5186 0.1250 0.2500
Hg2 0.2314 0.6250 0.2500
Hg3 0.3750 0.4814 0.7500
Hg4 0.8750 0.7686 0.7500

=====

> The lowest D(E_F) belongs to which entry?

SmDyIn4